{
  "formula": "FeCuGe4",
  "functional": "PBE-GGA",
  "state": "optimized geometry",
  "cell": [[-4.974, -3.066, 1.222], [1.445, -4.010, -4.180], [4.300, 0.815, 4.967]],
  "species": ["Fe", "Fe", "Cu", "Cu", "Ge", "Ge", "Ge", "Ge", "Ge", "Ge", "Ge", "Ge"],
  "frac_coords": [[0.250, 0.250, 0.500], [0.750, 0.750, 0.500], [0.500, 0.500, 0.000], [0.000, 0.000, 0.000], [0.485, 0.985, 0.279], [0.985, 0.794, 0.279], [0.294, 0.485, 0.279], [0.706, 0.515, 0.721], [0.015, 0.206, 0.721], [0.515, 0.015, 0.721], [0.206, 0.706, 0.721], [0.794, 0.294, 0.279]],
  "formation_energy_ev_per_atom": 0.00,
  "dft_energy_ev_per_cell": -62.01
}